Crystalline BeRe2Rh at its relaxed geometry, computed with PBE-GGA.

Output
E	-8.882	eV/atom
formation enthalpy at 0 K	112	meV/atom
crystal system	orthorhombic

Unit cell a=2.6864 b=2.6864 c=8.1507 alpha=90.00 beta=90.00 gamma=113.45
Fractional coordinates of all 4 atoms:
Re 0.5000 0.5000 0.2482
Be 0.5000 0.5000 0.7419
Rh 0.0000 0.0000 0.5320
Re 0.0000 0.0000 0.9780